! AcZrCr2O6 (PBE+U, relaxed); values from VASP
! DFT total energy   -8.36 eV per atom
! Crystal system   triclinic
! Calculated density   6.56 g/cm3
! Calculated volume   131.1 Å³/cell
&SYSTEM
  ibrav = 0, nat = 10, ntyp = 4
/
ATOMIC_SPECIES
Ac 227.00 Ac.upf
Zr 91.22 Zr.upf
Cr 52.00 Cr.upf
O 16.00 O.upf
CELL_PARAMETERS angstrom
5.475 0.000 0.000
2.710 4.857 0.000
0.007 2.937 4.931
ATOMIC_POSITIONS crystal
Ac 0.000 0.000 0.000
Zr 0.536 0.936 0.582
Cr 0.235 0.537 0.676
Cr 0.737 0.516 0.210
O 0.153 0.996 0.435
O 0.394 0.070 0.881
O 0.481 0.391 0.435
O 0.550 0.506 0.895
O 0.854 0.687 0.424
O 0.949 0.645 0.897